1.
Ce2PmPt3 (PBE, optimized geometry); excess energy over the best structure of this formula in the dataset = 0.005 eV/atom; density = 11.09 g/cm³; space-group type = No. 15; calculated total energy = -6.85 eV per atom; formation energy = -1.06 eV per atom; V = 25.214 Å³ per atom; D(E_F) = 1.7596 states/eV per atom
1.0
-5.227 1.631 2.107
-1.285 -7.697 2.770
5.592 2.616 3.681
Pt Pm Ce
6 2 4
Cartesian
-2.940 -1.107 1.748
-1.186 -0.121 5.306
-3.572 -4.959 3.129
0.266 -3.329 3.252
-1.838 -3.967 6.694
0.918 0.517 1.863
-6.185 -4.144 4.182
-0.327 -1.923 0.695
-2.380 -2.532 4.240
0.807 -4.764 5.706
-1.727 1.313 2.851
1.460 -0.918 4.317

2.
CePmPt3 (PBE, optimized geometry); excess energy over the best structure of this formula in the dataset = 0.000 eV/atom; density = 12.75 g/cm³; space-group type = No. 63; calculated total energy = -6.83 eV per atom; formation energy = -1.07 eV per atom; V = 22.679 Å³ per atom; D(E_F) = 0.9077 states/eV per atom
1.0
4.237 0.000 0.000
0.000 3.844 0.000
0.000 -1.922 13.922
Pt Ce Pm
6 2 2
Cartesian
1.059 0.000 13.144
3.178 1.922 3.401
3.178 0.000 8.628
3.178 1.922 0.779
1.059 0.000 10.521
1.059 1.922 5.294
1.059 1.922 8.308
3.178 0.000 5.614
3.178 1.922 11.940
1.059 0.000 1.982

3.
CePmPt (PBE, optimized geometry); excess energy over the best structure of this formula in the dataset = 0.194 eV/atom; density = 10.65 g/cm³; space-group type = No. 156; calculated total energy = -6.13 eV per atom; formation energy = -0.56 eV per atom; V = 24.946 Å³ per atom; D(E_F) = 1.6275 states/eV per atom
1.0
-0.672 3.251 -2.092
1.225 -2.270 -3.921
-4.473 -0.012 1.418
Pt Pm Ce
1 1 1
Cartesian
-0.006 0.029 -0.019
-1.138 0.725 -3.584
-2.777 0.215 -0.992